This record from Alexandria describes an optimized crystal structure of CaPr15Er4. The functional is PBE-GGA.

DOS at the Fermi energy = 28.788 states/eV per cell
Energy of formation from the pure elements = 0.0178 eV/atom
Volume = 35.2 A^3/atom
Theoretical density = 6.7 g cm⁻³
Symmetry = P4/mmm (123)

a = 5.207 Å, b = 5.207 Å, c = 25.943 Å
α = 90.00°, β = 90.00°, γ = 90.00°
Fractional positions:
Ca (0.000, 0.000, 0.000)
Pr (0.500, 0.500, 0.000)
Pr (0.500, 0.500, 0.202)
Pr (0.500, 0.500, 0.400)
Pr (0.500, 0.500, 0.600)
Pr (0.500, 0.500, 0.798)
Pr (0.500, 0.000, 0.104)
Pr (0.500, 0.000, 0.302)
Pr (0.500, 0.000, 0.500)
Pr (0.500, 0.000, 0.698)
Pr (0.500, 0.000, 0.896)
Pr (0.000, 0.500, 0.104)
Pr (0.000, 0.500, 0.302)
Pr (0.000, 0.500, 0.500)
Pr (0.000, 0.500, 0.698)
Pr (0.000, 0.500, 0.896)
Er (0.000, 0.000, 0.202)
Er (0.000, 0.000, 0.401)
Er (0.000, 0.000, 0.599)
Er (0.000, 0.000, 0.798)